The following is a DFT calculation (PBE) of an optimized crystal structure of VGe2Mo.

Cell lengths 3.0484, 3.0484, 7.6161 Å; angles 90.00, 90.00, 120.00 degrees
Space group P-3m1 (No. 164)
Unique sites:
V: 0.0000 0.0000 0.0000 (multiplicity 1)
Ge: 0.3333 0.6667 0.7542 (multiplicity 2)
Mo: 0.0000 0.0000 0.5000 (multiplicity 1)

Output
**Spin magnetization**: 0.000 μB per atom
**DFT formation energy**: -0.106 eV per atom
**Polymorph energy (0 for the lowest one)**: 0.00 eV per formula unit
**Uncorrected energy**: -7.40 eV/atom